Entry from Alexandria via LeMat-Bulk: a relaxed structure of LaZr2NiH (PBE).

Computed properties:
**Symmetry**: P4/mmm
**Total DFT energy (no corrections)**: -5.0016 eV per atom
**Crystal system**: tetragonal
**Spin magnetization**: 0.0 μB per formula unit

Lattice parameters (Å, degrees): 5.3439 3.7265 5.3439 90.00 90.00 90.00
Sites, in units of the cell vectors:
Ni 0.5000 0.5000 0.5000
Zr 0.0000 0.0000 0.5000
Zr 0.5000 0.0000 0.0000
La 0.0000 0.0000 0.0000
H 0.0000 0.5000 0.0000

Entry from Alexandria via LeMat-Bulk: a relaxed structure of LaNpH (PBE).

Computed properties:
**Symmetry**: Cmcm
**Total DFT energy (no corrections)**: -7.1338 eV per atom
**Crystal system**: orthorhombic
**Spin magnetization**: 0.0 μB per formula unit

Lattice parameters (Å, degrees): 3.5798 3.5774 9.2195 78.81 90.00 90.00
Sites, in units of the cell vectors:
Np 0.7500 0.7505 0.4991
Np 0.2500 0.2495 0.5009
H 0.2500 0.1239 0.7522
H 0.7500 0.8761 0.2478
La 0.7500 0.6055 0.7890
La 0.2500 0.3945 0.2110

Entry from Alexandria via LeMat-Bulk: a relaxed structure of LaNpH2O6 (PBE).

Computed properties:
**Symmetry**: P-1
**Total DFT energy (no corrections)**: -7.7656 eV per atom
**Crystal system**: triclinic
**Spin magnetization**: 0.0 μB per formula unit

Lattice parameters (Å, degrees): 5.4467 5.7592 6.2351 64.84 61.68 54.66
Sites, in units of the cell vectors:
O 0.5295 0.2325 0.2689
O 0.1028 0.3997 0.8342
O 0.9204 0.5458 0.2721
O 0.7119 0.0867 0.8308
O 0.2612 0.9040 0.2852
O 0.3712 0.7282 0.8178
La 0.8162 0.8161 0.5515
Np 0.3161 0.3162 0.0515
H 0.1575 0.8957 0.8299
H 0.4750 0.7367 0.2733